Compound: Sr2TbPaP4
Source: the Alexandria database
Functional: PBE-GGA
Structure: relaxed

Properties
Space group: P2/m (10)
Formation enthalpy at 0 K (meV/atom): -1315

a = 7.1576 Å, b = 4.1789 Å, c = 7.3508 Å
α = 90.00°, β = 108.94°, γ = 90.00°
With the nearest neighbours (Å) after each atom.
Atoms (fractional coordinates):
Sr 0.0000 0.0000 0.0000  6 P 3.14-3.15
Sr 0.5000 0.5000 0.0000  6 P 3.06-3.07
Tb 0.0000 0.5000 0.5000  6 P 2.86-2.88
Pa 0.5000 0.0000 0.5000  6 P 2.76-2.81
P 0.2506 0.0000 0.7176  1 Pa 2.76, 2 Tb 2.88, 2 Sr 3.07
P 0.2700 0.5000 0.2853  2 Pa 2.81, 1 Tb 2.86, 3 Sr 3.06-3.14
P 0.7300 0.5000 0.7147  2 Pa 2.81, 1 Tb 2.86, 3 Sr 3.06-3.14
P 0.7494 0.0000 0.2824  1 Pa 2.76, 2 Tb 2.88, 2 Sr 3.07